Record 1
Below is a geometry-optimized PuNb structure, with properties calculated at the PBE level.

- energy above the most stable polymorph in this dataset (eV per formula unit) = 2.45
- formation enthalpy at 0 K (meV per atom) = 1731.2
- size of the total moment (μB per cell) = 16.740

Unit cell a=5.923 b=5.923 c=5.923 alpha=90.00 beta=90.00 gamma=90.00
Fractional coordinates of all 8 atoms:
1 Pu 0.000 0.000 0.000
2 Pu 0.000 0.500 0.500
3 Pu 0.500 0.000 0.500
4 Pu 0.500 0.500 0.000
5 Nb 0.250 0.250 0.250
6 Nb 0.250 0.750 0.750
7 Nb 0.750 0.250 0.750
8 Nb 0.750 0.750 0.250



Record 2
Below is a geometry-optimized ZrFeSiTc structure, with properties calculated at the PBE level.

- energy above the most stable polymorph in this dataset (eV per formula unit) = 0.00
- size of the total moment (μB per cell) = 3.685

Unit cell a=6.128 b=6.128 c=6.128 alpha=90.00 beta=90.00 gamma=90.00
Fractional coordinates of all 16 atoms:
1 Zr 0.000 0.000 0.000
2 Zr 0.000 0.500 0.500
3 Zr 0.500 0.000 0.500
4 Zr 0.500 0.500 0.000
5 Fe 0.250 0.250 0.750
6 Fe 0.250 0.750 0.250
7 Fe 0.750 0.250 0.250
8 Fe 0.750 0.750 0.750
9 Si 0.000 0.000 0.500
10 Si 0.000 0.500 0.000
11 Si 0.500 0.000 0.000
12 Si 0.500 0.500 0.500
13 Tc 0.250 0.250 0.250
14 Tc 0.250 0.750 0.750
15 Tc 0.750 0.250 0.750
16 Tc 0.750 0.750 0.250



Record 3
Below is a geometry-optimized HoReN3 structure, with properties calculated at the PBE level.

- DFT total energy (eV per atom) = -9.048
- size of the total moment (μB per cell) = 0.002

Unit cell a=5.556 b=3.688 c=7.861 alpha=90.00 beta=110.68 gamma=90.00
Fractional coordinates of all 10 atoms:
1 Ho 0.204 0.250 0.188
2 Ho 0.796 0.750 0.812
3 Re 0.173 0.250 0.675
4 Re 0.827 0.750 0.325
5 N 0.030 0.750 0.605
6 N 0.087 0.250 0.887
7 N 0.489 0.750 0.277
8 N 0.511 0.250 0.723
9 N 0.913 0.750 0.113
10 N 0.970 0.250 0.395



Record 4
Below is a geometry-optimized DyTlPO structure, with properties calculated at the PBE level.

- energy above the most stable polymorph in this dataset (eV per formula unit) = 0.00
- size of the total moment (μB per cell) = 0.000

Unit cell a=4.848 b=8.140 c=5.326 alpha=90.00 beta=90.00 gamma=90.00
Fractional coordinates of all 8 atoms:
1 Dy 0.000 0.142 0.000
2 Dy 0.000 0.858 0.500
3 Tl 0.500 0.322 0.438
4 Tl 0.500 0.678 0.938
5 P 0.500 0.306 0.935
6 P 0.500 0.694 0.435
7 O 0.000 0.107 0.391
8 O 0.000 0.893 0.891



Record 5
Below is a geometry-optimized SiAsOsO structure, with properties calculated at the PBE level.

- energy above the most stable polymorph in this dataset (eV per formula unit) = 2.64
- size of the total moment (μB per cell) = 0.019

Unit cell a=3.330 b=3.330 c=10.382 alpha=90.00 beta=90.00 gamma=90.00
Fractional coordinates of all 8 atoms:
1 Si 0.250 0.750 0.000
2 Si 0.750 0.250 0.000
3 As 0.250 0.250 0.241
4 As 0.750 0.750 0.759
5 Os 0.250 0.250 0.628
6 Os 0.750 0.750 0.372
7 O 0.250 0.750 0.500
8 O 0.750 0.250 0.500



Record 6
Below is a geometry-optimized ZnTe structure, with properties calculated at the PBE level.

- DFT total energy (eV per atom) = -2.408

Unit cell a=5.403 b=5.541 c=6.576 alpha=90.00 beta=90.00 gamma=90.00
Fractional coordinates of all 8 atoms:
1 Zn 0.247 0.250 0.114
2 Zn 0.253 0.750 0.614
3 Zn 0.747 0.250 0.386
4 Zn 0.753 0.750 0.886
5 Te 0.249 0.250 0.527
6 Te 0.251 0.750 0.027
7 Te 0.749 0.250 0.973
8 Te 0.751 0.750 0.473



Record 7
Below is a geometry-optimized RbBiPdSe3 structure, with properties calculated at the PBE level.

- DFT total energy (eV per atom) = -3.946

Unit cell a=9.094 b=4.254 c=10.068 alpha=90.00 beta=112.11 gamma=90.00
Fractional coordinates of all 12 atoms:
1 Rb 0.242 0.250 0.263
2 Rb 0.758 0.750 0.737
3 Bi 0.301 0.750 0.874
4 Bi 0.699 0.250 0.126
5 Pd 0.111 0.250 0.622
6 Pd 0.889 0.750 0.378
7 Se 0.079 0.250 0.870
8 Se 0.178 0.750 0.519
9 Se 0.491 0.750 0.175
10 Se 0.509 0.250 0.825
11 Se 0.822 0.250 0.481
12 Se 0.921 0.750 0.130



Record 8
Below is a geometry-optimized Pm2MgAg2 structure, with properties calculated at the PBE level.

- DFT total energy (eV per atom) = -3.598
- size of the total moment (μB per cell) = 0.039

Unit cell a=8.045 b=8.045 c=3.996 alpha=90.00 beta=90.00 gamma=90.00
Fractional coordinates of all 10 atoms:
1 Pm 0.170 0.330 0.000
2 Pm 0.330 0.830 0.000
3 Pm 0.670 0.170 0.000
4 Pm 0.830 0.670 0.000
5 Mg 0.000 0.000 0.500
6 Mg 0.500 0.500 0.500
7 Ag 0.128 0.628 0.500
8 Ag 0.372 0.128 0.500
9 Ag 0.628 0.872 0.500
10 Ag 0.872 0.372 0.500